Below is a relaxed ScFeSn2O crystal, with properties calculated at the PBE+U level.

a b c (Å): 4.890 4.185 4.890
angles (deg): 90.00 90.00 90.00
Site moments in Bohr magnetons follow the coordinates.
Fractional positions:
Sc (0.000, 0.500, 0.000)  -0.01
Sn (0.000, 0.000, 0.500)  -0.02
Sn (0.500, 0.000, 0.000)  -0.03
O (0.000, 0.000, 0.000)  -0.02
Fe (0.500, 0.500, 0.500)  3.66

Computed properties:
Raw total energy ... -5.489 eV/atom
Density of states at the Fermi level ... 2.90 states/eV/f.u.